Computed, not measured: crystalline La2TaCr at its relaxed geometry at the PBE-GGA level of DFT.

Summary:
Formation enthalpy at 0 K (meV per atom): 956
N(E_F) (states/eV/f.u.): 4.945
Polymorph energy (0 for the lowest one) (meV/atom): 610.9
Magnetic moment (μB/cell): 10.750
Mass density (g/cm³): 8.15
Total DFT energy (no corrections) (Ry per atom): -0.5054

Structure (CIF):
```
data_La2TaCr
_cell_length_a 8.230
_cell_length_b 8.230
_cell_length_c 6.148
_cell_angle_alpha 90.00
_cell_angle_beta 90.00
_cell_angle_gamma 90.00
_symmetry_space_group_name_H-M 'I -4 2 d'
_symmetry_Int_Tables_number 122
_symmetry_space_group_name_Hall 'I -4 2bw'
loop_
_atom_site_label
_atom_site_type_symbol
_atom_site_fract_x
_atom_site_fract_y
_atom_site_fract_z
_atom_site_occupancy
La1 La 0.236 0.750 0.125 1
Ta1 Ta 0.000 0.000 0.500 1
Cr1 Cr 0.000 0.000 0.000 1
```